Entry from Alexandria via LeMat-Bulk: an optimized crystal structure of SmTm2Mg3 (PBE).

Properties
The calculation puts the energy of formation at -6.6 kJ per mole of atoms. The calculation puts the density of states at the Fermi level at 8.2 states/eV per cell.

a = 3.779 Å, b = 3.779 Å, c = 11.374 Å
α = 90.00°, β = 90.00°, γ = 90.00°
Space group P4/mmm (No. 123)
Inequivalent atoms, fractional coordinates:
Sm1 0.000 0.000 0.000 x1
Tm1 0.000 0.000 0.337 x2
Mg1 0.500 0.500 0.175 x2
Mg2 0.500 0.500 0.500 x1